(a)
First-principles (PBE) data for crystalline BiN2F at its relaxed geometry, as listed in the Alexandria database.

CIF file:
```
data_BiN2F
_chemical_formula_sum 'Bi1 N2 F1'
_symmetry_space_group_name_H-M 'P 1'
_symmetry_Int_Tables_number 1
_symmetry_space_group_name_Hall 'P 1'
_cell_length_a 3.191
_cell_length_b 4.607
_cell_length_c 7.524
_cell_angle_alpha 88.97
_cell_angle_beta 82.69
_cell_angle_gamma 89.53
loop_
_atom_site_label
_atom_site_type_symbol
_atom_site_fract_x
_atom_site_fract_y
_atom_site_fract_z
_atom_site_occupancy
Bi1 Bi 0.000 0.000 0.000 1
N1 N 0.132 0.598 0.500 1
N2 N 0.147 0.356 0.501 1
F1 F 0.999 0.500 0.001 1
```

Values from the calculation:
total moment: 0.000 μB/atom
density of states at the Fermi level: 0.335 states/eV/atom

(b)
First-principles (PBE) data for crystalline BiN2F at its relaxed geometry, as listed in the Alexandria database.

CIF file:
```
data_BiN2F
_chemical_formula_sum 'Bi4 N8 F4'
_symmetry_space_group_name_H-M 'F m -3 m'
_symmetry_Int_Tables_number 225
_symmetry_space_group_name_Hall '-F 4 2 3'
_cell_length_a 5.717
_cell_length_b 5.717
_cell_length_c 5.717
_cell_angle_alpha 90.00
_cell_angle_beta 90.00
_cell_angle_gamma 90.00
loop_
_atom_site_label
_atom_site_type_symbol
_atom_site_fract_x
_atom_site_fract_y
_atom_site_fract_z
_atom_site_occupancy
Bi1 Bi 0.000 0.000 0.000 1
N1 N 0.250 0.250 0.250 1
F1 F 0.000 0.000 0.500 1
```

Values from the calculation:
total moment: 0.527 μB/atom
density of states at the Fermi level: 0.308 states/eV/atom

(c)
First-principles (PBE) data for crystalline BiN2F at its relaxed geometry, as listed in the Alexandria database.

CIF file:
```
data_BiN2F
_chemical_formula_sum 'Bi3 N6 F3'
_symmetry_space_group_name_H-M 'R -3 m'
_symmetry_Int_Tables_number 166
_symmetry_space_group_name_Hall '-R 3 2"'
_cell_length_a 3.5497
_cell_length_b 3.5497
_cell_length_c 17.4918
_cell_angle_alpha 90.00
_cell_angle_beta 90.00
_cell_angle_gamma 120.00
loop_
_atom_site_label
_atom_site_type_symbol
_atom_site_fract_x
_atom_site_fract_y
_atom_site_fract_z
_atom_site_occupancy
Bi1 Bi 0.0000 0.0000 0.0000 1
N1 N 0.0000 0.0000 0.3957 1
F1 F 0.0000 0.0000 0.5000 1
```

Values from the calculation:
total moment: 0.000 μB/atom
density of states at the Fermi level: 0.501 states/eV/atom

(d)
First-principles (PBE) data for crystalline BiN2F at its relaxed geometry, as listed in the Alexandria database.

CIF file:
```
data_BiN2F
_chemical_formula_sum 'Bi4 N8 F4'
_symmetry_space_group_name_H-M 'I -4 2 d'
_symmetry_Int_Tables_number 122
_symmetry_space_group_name_Hall 'I -4 2bw'
_cell_length_a 5.376
_cell_length_b 5.376
_cell_length_c 10.232
_cell_angle_alpha 90.00
_cell_angle_beta 90.00
_cell_angle_gamma 90.00
loop_
_atom_site_label
_atom_site_type_symbol
_atom_site_fract_x
_atom_site_fract_y
_atom_site_fract_z
_atom_site_occupancy
Bi1 Bi 0.000 0.000 0.000 1
N1 N 0.223 0.250 0.125 1
F1 F 0.000 0.000 0.500 1
```

Values from the calculation:
total moment: 0.500 μB/atom
density of states at the Fermi level: 0.115 states/eV/atom

Name the least stable of them. (d).

(a)
First-principles (PBE) data for crystalline NbBiN2F at its relaxed geometry, as listed in the Alexandria database.

CIF file:
```
data_NbBiN2F
_chemical_formula_sum 'Nb1 Bi1 N2 F1'
_symmetry_space_group_name_H-M 'P 4/m m m'
_symmetry_Int_Tables_number 123
_symmetry_space_group_name_Hall '-P 4 2'
_cell_length_a 4.183
_cell_length_b 4.183
_cell_length_c 4.111
_cell_angle_alpha 90.00
_cell_angle_beta 90.00
_cell_angle_gamma 90.00
loop_
_atom_site_label
_atom_site_type_symbol
_atom_site_fract_x
_atom_site_fract_y
_atom_site_fract_z
_atom_site_occupancy
Nb1 Nb 0.000 0.000 0.000 1
Bi1 Bi 0.500 0.500 0.500 1
N1 N 0.000 0.500 0.000 1
F1 F 0.000 0.000 0.500 1
```

Values from the calculation:
total moment: 0.000 μB/atom
density of states at the Fermi level: 0.559 states/eV/atom

(b)
First-principles (PBE) data for crystalline NbBiN2F at its relaxed geometry, as listed in the Alexandria database.

CIF file:
```
data_NbBiN2F
_chemical_formula_sum 'Nb1 Bi1 N2 F1'
_symmetry_space_group_name_H-M 'P 4/m m m'
_symmetry_Int_Tables_number 123
_symmetry_space_group_name_Hall '-P 4 2'
_cell_length_a 4.362
_cell_length_b 4.362
_cell_length_c 4.237
_cell_angle_alpha 90.00
_cell_angle_beta 90.00
_cell_angle_gamma 90.00
loop_
_atom_site_label
_atom_site_type_symbol
_atom_site_fract_x
_atom_site_fract_y
_atom_site_fract_z
_atom_site_occupancy
Nb1 Nb 0.000 0.000 0.000 1
Bi1 Bi 0.500 0.500 0.500 1
N1 N 0.000 0.500 0.500 1
F1 F 0.500 0.500 0.000 1
```

Values from the calculation:
total moment: 0.488 μB/atom
density of states at the Fermi level: 0.595 states/eV/atom

Name the least stable of them. (b).

(a)
First-principles (PBE) data for crystalline BiNOF2 at its relaxed geometry, as listed in the Alexandria database.

CIF file:
```
data_BiNOF2
_chemical_formula_sum 'Bi1 N1 O1 F2'
_symmetry_space_group_name_H-M 'P 4/m m m'
_symmetry_Int_Tables_number 123
_symmetry_space_group_name_Hall '-P 4 2'
_cell_length_a 4.514
_cell_length_b 4.514
_cell_length_c 4.164
_cell_angle_alpha 90.00
_cell_angle_beta 90.00
_cell_angle_gamma 90.00
loop_
_atom_site_label
_atom_site_type_symbol
_atom_site_fract_x
_atom_site_fract_y
_atom_site_fract_z
_atom_site_occupancy
Bi1 Bi 0.000 0.000 0.000 1
N1 N 0.500 0.500 0.500 1
O1 O 0.000 0.000 0.500 1
F1 F 0.000 0.500 0.000 1
```

Values from the calculation:
total moment: 0.592 μB/atom
density of states at the Fermi level: 0.142 states/eV/atom

(b)
First-principles (PBE) data for crystalline BiNOF2 at its relaxed geometry, as listed in the Alexandria database.

CIF file:
```
data_BiNOF2
_chemical_formula_sum 'Bi1 N1 O1 F2'
_symmetry_space_group_name_H-M 'P 4/m m m'
_symmetry_Int_Tables_number 123
_symmetry_space_group_name_Hall '-P 4 2'
_cell_length_a 3.888
_cell_length_b 3.888
_cell_length_c 3.871
_cell_angle_alpha 90.00
_cell_angle_beta 90.00
_cell_angle_gamma 90.00
loop_
_atom_site_label
_atom_site_type_symbol
_atom_site_fract_x
_atom_site_fract_y
_atom_site_fract_z
_atom_site_occupancy
Bi1 Bi 0.000 0.000 0.000 1
N1 N 0.500 0.500 0.000 1
O1 O 0.500 0.500 0.500 1
F1 F 0.000 0.500 0.500 1
```

Values from the calculation:
total moment: 0.000 μB/atom
density of states at the Fermi level: 0.181 states/eV/atom

Name the least stable of them. (b).

(a)
First-principles (PBE) data for crystalline BiPNF2 at its relaxed geometry, as listed in the Alexandria database.

CIF file:
```
data_BiPNF2
_chemical_formula_sum 'Bi1 P1 N1 F2'
_symmetry_space_group_name_H-M 'P 4/m m m'
_symmetry_Int_Tables_number 123
_symmetry_space_group_name_Hall '-P 4 2'
_cell_length_a 4.757
_cell_length_b 4.757
_cell_length_c 3.329
_cell_angle_alpha 90.00
_cell_angle_beta 90.00
_cell_angle_gamma 90.00
loop_
_atom_site_label
_atom_site_type_symbol
_atom_site_fract_x
_atom_site_fract_y
_atom_site_fract_z
_atom_site_occupancy
Bi1 Bi 0.000 0.000 0.000 1
P1 P 0.500 0.500 0.500 1
N1 N 0.500 0.500 0.000 1
F1 F 0.000 0.500 0.500 1
```

Values from the calculation:
total moment: 0.000 μB/atom
density of states at the Fermi level: 0.572 states/eV/atom

(b)
First-principles (PBE) data for crystalline BiPNF2 at its relaxed geometry, as listed in the Alexandria database.

CIF file:
```
data_BiPNF2
_chemical_formula_sum 'Bi1 P1 N1 F2'
_symmetry_space_group_name_H-M 'P 4/m m m'
_symmetry_Int_Tables_number 123
_symmetry_space_group_name_Hall '-P 4 2'
_cell_length_a 4.465
_cell_length_b 4.465
_cell_length_c 4.795
_cell_angle_alpha 90.00
_cell_angle_beta 90.00
_cell_angle_gamma 90.00
loop_
_atom_site_label
_atom_site_type_symbol
_atom_site_fract_x
_atom_site_fract_y
_atom_site_fract_z
_atom_site_occupancy
Bi1 Bi 0.000 0.000 0.000 1
P1 P 0.500 0.500 0.500 1
N1 N 0.000 0.000 0.500 1
F1 F 0.000 0.500 0.000 1
```

Values from the calculation:
total moment: 0.269 μB/atom
density of states at the Fermi level: 0.262 states/eV/atom

Name the least stable of them. (b).

(a)
First-principles (PBE) data for crystalline BiPbNF2 at its relaxed geometry, as listed in the Alexandria database.

CIF file:
```
data_BiPbNF2
_chemical_formula_sum 'Bi1 Pb1 N1 F2'
_symmetry_space_group_name_H-M 'P 4/m m m'
_symmetry_Int_Tables_number 123
_symmetry_space_group_name_Hall '-P 4 2'
_cell_length_a 4.576
_cell_length_b 4.576
_cell_length_c 4.496
_cell_angle_alpha 90.00
_cell_angle_beta 90.00
_cell_angle_gamma 90.00
loop_
_atom_site_label
_atom_site_type_symbol
_atom_site_fract_x
_atom_site_fract_y
_atom_site_fract_z
_atom_site_occupancy
Bi1 Bi 0.000 0.000 0.000 1
Pb1 Pb 0.500 0.500 0.500 1
N1 N 0.500 0.500 0.000 1
F1 F 0.000 0.500 0.500 1
```

Values from the calculation:
total moment: 0.000 μB/atom
density of states at the Fermi level: 0.399 states/eV/atom

(b)
First-principles (PBE) data for crystalline BiPbNF2 at its relaxed geometry, as listed in the Alexandria database.

CIF file:
```
data_BiPbNF2
_chemical_formula_sum 'Bi1 Pb1 N1 F2'
_symmetry_space_group_name_H-M 'P 4/m m m'
_symmetry_Int_Tables_number 123
_symmetry_space_group_name_Hall '-P 4 2'
_cell_length_a 4.598
_cell_length_b 4.598
_cell_length_c 4.602
_cell_angle_alpha 90.00
_cell_angle_beta 90.00
_cell_angle_gamma 90.00
loop_
_atom_site_label
_atom_site_type_symbol
_atom_site_fract_x
_atom_site_fract_y
_atom_site_fract_z
_atom_site_occupancy
Bi1 Bi 0.000 0.000 0.000 1
Pb1 Pb 0.500 0.500 0.500 1
N1 N 0.000 0.000 0.500 1
F1 F 0.000 0.500 0.000 1
```

Values from the calculation:
total moment: 0.000 μB/atom
density of states at the Fermi level: 0.218 states/eV/atom

Name the least stable of them. (a).

(a)
First-principles (PBE) data for crystalline BiPbN2F at its relaxed geometry, as listed in the Alexandria database.

CIF file:
```
data_BiPbN2F
_chemical_formula_sum 'Bi1 Pb1 N2 F1'
_symmetry_space_group_name_H-M 'P 4/m m m'
_symmetry_Int_Tables_number 123
_symmetry_space_group_name_Hall '-P 4 2'
_cell_length_a 4.526
_cell_length_b 4.526
_cell_length_c 4.544
_cell_angle_alpha 90.00
_cell_angle_beta 90.00
_cell_angle_gamma 90.00
loop_
_atom_site_label
_atom_site_type_symbol
_atom_site_fract_x
_atom_site_fract_y
_atom_site_fract_z
_atom_site_occupancy
Bi1 Bi 0.000 0.000 0.000 1
Pb1 Pb 0.500 0.500 0.500 1
N1 N 0.000 0.500 0.000 1
F1 F 0.000 0.000 0.500 1
```

Values from the calculation:
total moment: 0.000 μB/atom
density of states at the Fermi level: 0.255 states/eV/atom

(b)
First-principles (PBE) data for crystalline BiPbN2F at its relaxed geometry, as listed in the Alexandria database.

CIF file:
```
data_BiPbN2F
_chemical_formula_sum 'Bi1 Pb1 N2 F1'
_symmetry_space_group_name_H-M 'P 4/m m m'
_symmetry_Int_Tables_number 123
_symmetry_space_group_name_Hall '-P 4 2'
_cell_length_a 4.452
_cell_length_b 4.452
_cell_length_c 4.308
_cell_angle_alpha 90.00
_cell_angle_beta 90.00
_cell_angle_gamma 90.00
loop_
_atom_site_label
_atom_site_type_symbol
_atom_site_fract_x
_atom_site_fract_y
_atom_site_fract_z
_atom_site_occupancy
Bi1 Bi 0.000 0.000 0.000 1
Pb1 Pb 0.500 0.500 0.500 1
N1 N 0.000 0.500 0.500 1
F1 F 0.500 0.500 0.000 1
```

Values from the calculation:
total moment: 0.001 μB/atom
density of states at the Fermi level: 0.281 states/eV/atom

Name the least stable of them. (b).